Computed, not measured: a relaxed structure of CoAgO2 at the PBE+U level of DFT.

Computed properties:
As for the raw total energy: -4.560 eV/atom. The volume comes out at 13.09 Å³ per atom.

a = 3.1355 Å, b = 3.1481 Å, c = 12.2363 Å
α = 90.00°, β = 90.00°, γ = 119.87°
Site moments in Bohr magnetons follow the coordinates.
Element x y z (fractional)
Co 0.6650 0.3300 0.7500  2.15
O 0.3343 0.6686 0.1080  -0.19
O 0.6657 0.3314 0.8920  -0.19
O 0.3343 0.6686 0.3920  -0.19
Ag 0.0000 0.0000 0.5000  -0.39
Ag 0.0000 0.0000 0.0000  -0.39
O 0.6657 0.3314 0.6080  -0.19
Co 0.3350 0.6700 0.2500  2.15